Record 1
# ErAl

ErAl after structural relaxation (PBE-GGA, OQMD).

Computed properties:
The size of the total moment is 0.0 μB/f.u. As for the space group: P-6m2, No. 187.

Cell: 3.3848 3.3848 4.8920 Å, 90.00 90.00 120.00°
With the nearest neighbours (Å) after each atom.
Sites, in units of the cell vectors:
Er  0.3333  0.6667  0.2500  6 Al 3.13, 6 Er 3.38
Al  0.6667  0.3333  0.7500  6 Er 3.13, 6 Al 3.38

Record 2
# ErAl

ErAl after structural relaxation (PBE-GGA, OQMD).

Computed properties:
The size of the total moment is 0.2 μB/f.u. As for the space group: P6_3/mmc, No. 194.

Cell: 5.2100 5.2100 5.8980 Å, 90.00 90.00 120.00°
With the nearest neighbours (Å) after each atom.
Sites, in units of the cell vectors:
Al  0.3333  0.6667  0.4376  5 Er 2.95-3.01
Al  0.0000  0.0000  0.9376  5 Er 2.95-3.01
Er  0.3333  0.6667  0.9374  5 Al 2.95-3.01
Er  0.0000  0.0000  0.4374  5 Al 2.95-3.01

Record 3
# Er2Al

Er2Al after structural relaxation (PBE-GGA, OQMD).

Computed properties:
The size of the total moment is 0.0 μB/f.u. As for the space group: Fd-3m, No. 227.

Cell: 6.1156 6.1156 6.1156 Å, 60.00 60.00 60.00°
With the nearest neighbours (Å) after each atom.
Sites, in units of the cell vectors:
Al  0.0000  0.0000  0.0000  12 Er 3.59, 4 Al 3.75
Er  0.6250  0.1250  0.6250  6 Er 3.06
Er  0.1250  0.6250  0.6250  6 Er 3.06
Er  0.6250  0.6250  0.1250  6 Er 3.06
Al  0.2500  0.2500  0.2500  12 Er 3.59, 4 Al 3.75
Er  0.6250  0.6250  0.6250  6 Er 3.06

Record 4
# Er3Al

Er3Al after structural relaxation (PBE-GGA, OQMD).

Computed properties:
The size of the total moment is 0.4 μB/f.u. As for the space group: Fm-3m, No. 225.

Cell: 5.2934 5.2934 5.2934 Å, 60.00 60.00 60.00°
With the nearest neighbours (Å) after each atom.
Sites, in units of the cell vectors:
Al  0.7500  0.7500  0.7500  8 Er 3.24
Er  0.2500  0.2500  0.2500  8 Er 3.24
Er  0.5000  0.5000  0.5000  4 Er 3.24, 4 Al 3.24
Er  0.0000  0.0000  0.0000  4 Er 3.24, 4 Al 3.24

Record 5
# ErAl

ErAl after structural relaxation (PBE-GGA, OQMD).

Computed properties:
The size of the total moment is 0.6 μB/f.u. As for the space group: F-43m, No. 216.

Cell: 4.7587 4.7587 4.7587 Å, 60.00 60.00 60.00°
With the nearest neighbours (Å) after each atom.
Sites, in units of the cell vectors:
Er  0.2500  0.2500  0.2500  4 Al 2.91
Al  0.0000  0.0000  0.0000  4 Er 2.91

Record 6
# ErAl

ErAl after structural relaxation (PBE-GGA, OQMD).

Computed properties:
The size of the total moment is 0.3 μB/f.u. As for the space group: Fm-3m, No. 225.

Cell: 4.2109 4.2109 4.2109 Å, 60.00 60.00 60.00°
With the nearest neighbours (Å) after each atom.
Sites, in units of the cell vectors:
Er  0.5000  0.5000  0.5000  6 Al 2.98
Al  0.0000  0.0000  0.0000  6 Er 2.98

Record 7
# ErAl

ErAl after structural relaxation (PBE-GGA, OQMD).

Computed properties:
The size of the total moment is 0.0 μB/f.u. As for the space group: Pbcm, No. 57.

Cell: 5.8092 11.3348 5.5742 Å, 90.00 90.00 90.00°
With the nearest neighbours (Å) after each atom.
Sites, in units of the cell vectors:
Er  0.4005  0.1685  0.7500  6 Al 3.03-3.27, 3 Er 3.30-3.34
Al  0.3396  0.5975  0.2500  2 Al 2.73, 3 Er 3.03-3.05
Er  0.5995  0.6685  0.7500  6 Al 3.03-3.27, 3 Er 3.30-3.34
Er  0.5995  0.8315  0.2500  6 Al 3.03-3.27, 3 Er 3.30-3.34
Al  0.6604  0.0975  0.2500  2 Al 2.73, 3 Er 3.03-3.05
Al  0.0676  0.7500  0.0000  4 Al 2.73-2.79
Er  0.1614  0.0173  0.2500  8 Al 3.04-3.38, 3 Er 3.30-3.38
Er  0.8386  0.5173  0.2500  8 Al 3.04-3.38, 3 Er 3.30-3.38
Er  0.1614  0.4827  0.7500  8 Al 3.04-3.38, 3 Er 3.30-3.38
Al  0.9324  0.2500  0.0000  4 Al 2.73-2.79
Al  0.6604  0.4025  0.7500  2 Al 2.73, 3 Er 3.03-3.05
Er  0.4005  0.3315  0.2500  6 Al 3.03-3.27, 3 Er 3.30-3.34
Al  0.3396  0.9025  0.7500  2 Al 2.73, 3 Er 3.03-3.05
Er  0.8386  0.9827  0.7500  8 Al 3.04-3.38, 3 Er 3.30-3.38
Al  0.9324  0.2500  0.5000  4 Al 2.73-2.79
Al  0.0676  0.7500  0.5000  4 Al 2.73-2.79

Record 8
# Er3Al

Er3Al after structural relaxation (PBE-GGA, OQMD).

Computed properties:
The size of the total moment is 0.0 μB/f.u. As for the space group: P6_3/mmc, No. 194.

Cell: 6.7477 6.7477 5.2778 Å, 90.00 90.00 120.00°
With the nearest neighbours (Å) after each atom.
Sites, in units of the cell vectors:
Al  0.3333  0.6667  0.7500  12 Er 3.23-3.37
Al  0.6667  0.3333  0.2500  12 Er 3.23-3.37
Er  0.8262  0.1738  0.7500  8 Er 3.23-3.52, 4 Al 3.23-3.37
Er  0.3476  0.1738  0.7500  8 Er 3.23-3.52, 4 Al 3.23-3.37
Er  0.1738  0.3476  0.2500  8 Er 3.23-3.52, 4 Al 3.23-3.37
Er  0.8262  0.6524  0.7500  8 Er 3.23-3.52, 4 Al 3.23-3.37
Er  0.6524  0.8262  0.2500  8 Er 3.23-3.52, 4 Al 3.23-3.37
Er  0.1738  0.8262  0.2500  8 Er 3.23-3.52, 4 Al 3.23-3.37

Number 1: total energy -4.252 eV per atom, calculated density 6.65 g cm⁻³. Number 2: total energy -3.575 eV per atom, calculated density 4.65 g cm⁻³. Number 3: total energy -3.928 eV per atom, calculated density 7.42 g cm⁻³. Number 4: total energy -4.411 eV per atom, calculated density 8.37 g cm⁻³. Number 5: total energy -3.162 eV per atom, calculated density 4.23 g cm⁻³. Number 6: total energy -4.046 eV per atom, calculated density 6.11 g cm⁻³. Number 7: total energy -4.569 eV per atom, calculated density 7.03 g cm⁻³. Number 8: total energy -4.559 eV per atom, calculated density 8.44 g cm⁻³.